(1)
Computed, not measured: TlAsRh2 after structural relaxation at the PBE-GGA level of DFT.

The space group is F-43m (No. 216) and the conventional cell measures 6.527, 6.527 and 6.527 Å, with angles of 90.00, 90.00 and 90.00 degrees. Symmetry generates all atoms from Tl at (0.000, 0.000, 0.000), As at (0.250, 0.250, 0.250), Rh at (0.000, 0.000, 0.500) and Rh at (0.250, 0.250, 0.750).

For the raw total energy, the calculation gives -20.5 eV/f.u. The formation energy comes out at 0.296 eV/atom.

---

(2)
Computed, not measured: Y5Tl2Ni2 after structural relaxation at the PBE-GGA level of DFT.

The space group is Cmce (No. 64) and the conventional cell measures 15.700, 8.347 and 7.068 Å, with angles of 90.00, 90.00 and 90.00 degrees. Symmetry generates all atoms from Y at (0.000, 0.000, 0.000), Y at (0.118, 0.181, 0.346), Tl at (0.215, 0.000, 0.000) and Ni at (0.000, 0.111, 0.625).

For the raw total energy, the calculation gives -51.6 eV/f.u. The formation energy comes out at -0.328 eV/atom.

---

Question: Number 1 is which compound?
Answer: TlAsRh2